No. 1
A plane-wave DFT calculation with GGA-PBE was carried out for a relaxed structure of KPu2I8.

Results
Its total energy is -51.9 eV per cell. The calculation puts the energy relative to the elements, uncorrected at -882 meV per atom. The symmetry is C2/m (12). The density of states at the Fermi level is 17.9 states/eV/cell. The crystal system is monoclinic.

Cell: 8.669 9.569 9.569 Å, 57.16 79.12 79.12°
Last column: magnetic moment on the atom in μB.
Fractional positions:
I  0.243  0.854  0.337  -0.10
I  0.681  0.181  0.181  -0.08
I  0.817  0.642  0.642  -0.13
I  0.243  0.337  0.854  -0.10
I  0.757  0.663  0.146  -0.10
I  0.319  0.819  0.819  -0.08
I  0.183  0.358  0.358  -0.13
I  0.757  0.146  0.663  -0.10
K  0.000  0.000  0.000  0.00
Pu  0.660  0.813  0.813  4.94
Pu  0.340  0.187  0.187  4.94

=====

No. 2
A plane-wave DFT calculation with GGA-PBE was carried out for a relaxed structure of KPuI6.

Results
Its total energy is -31.5 eV per cell. The calculation puts the energy relative to the elements, uncorrected at -847 meV per atom. The symmetry is C2/m (12). The density of states at the Fermi level is 10.8 states/eV/cell. The crystal system is monoclinic.

Cell: 7.655 7.655 7.705 Å, 99.39 99.39 111.72°
Last column: magnetic moment on the atom in μB.
Fractional positions:
I  0.832  0.500  0.757  -0.16
I  0.229  0.229  0.662  -0.19
I  0.168  0.500  0.243  -0.16
I  0.500  0.168  0.243  -0.16
I  0.771  0.771  0.338  -0.19
I  0.500  0.832  0.757  -0.16
Pu  0.500  0.500  0.500  4.45
K  0.000  0.000  0.000  0.00

=====

No. 3
A plane-wave DFT calculation with GGA-PBE was carried out for a relaxed structure of KPu5I12.

Results
Its total energy is -111.7 eV per cell. The calculation puts the energy relative to the elements, uncorrected at -1129 meV per atom. The symmetry is C2/m (12). The density of states at the Fermi level is 68.7 states/eV/cell. The crystal system is monoclinic.

Cell: 7.910 7.920 15.502 Å, 89.96 89.93 60.04°
Last column: magnetic moment on the atom in μB.
Fractional positions:
Pu  0.333  0.333  0.000  5.52
Pu  0.500  0.000  0.500  -5.71
Pu  0.667  0.667  0.000  5.52
Pu  0.833  0.333  0.500  -5.71
Pu  0.167  0.667  0.500  -5.71
I  0.367  0.633  0.877  -0.04
I  0.500  0.667  0.383  0.05
I  0.500  0.333  0.617  0.05
I  0.834  0.000  0.383  0.05
I  0.833  0.667  0.617  0.05
I  0.000  0.633  0.123  -0.04
I  0.633  0.367  0.123  -0.04
I  0.367  0.000  0.123  -0.04
I  0.167  0.333  0.383  0.05
I  0.166  0.000  0.617  0.05
I  0.633  0.000  0.877  -0.04
I  0.000  0.367  0.877  -0.04
K  0.000  0.000  0.000  0.00

=====

No. 4
A plane-wave DFT calculation with GGA-PBE was carried out for a relaxed structure of KPu2I7.

Results
Its total energy is -51.4 eV per cell. The calculation puts the energy relative to the elements, uncorrected at -1076 meV per atom. The symmetry is Cmmm (65). The density of states at the Fermi level is 29.4 states/eV/cell. The crystal system is orthorhombic.

Cell: 6.120 9.350 9.350 Å, 115.98 90.00 90.00°
Last column: magnetic moment on the atom in μB.
Fractional positions:
I  0.500  0.951  0.676  -0.06
I  0.500  0.049  0.324  -0.06
I  0.500  0.500  0.500  -0.09
I  0.000  0.298  0.702  -0.06
I  0.000  0.702  0.298  -0.06
I  0.500  0.324  0.049  -0.06
I  0.500  0.676  0.951  -0.06
Pu  0.500  0.304  0.696  5.17
Pu  0.500  0.696  0.304  5.17
K  0.000  0.000  0.000  0.00